{
  "formula": "Ho3ZrAs4",
  "functional": "GGA-PBE",
  "state": "relaxed",
  "dft_energy_ev_per_atom": -6.54,
  "delta_e_f_ev_per_atom": -1.426,
  "volume_a3_per_cell": 185.40,
  "magmom_total_mub_per_cell": 0.00,
  "spacegroup": "No. 65",
  "cell": [[-2.254, 2.912, -1.634], [-5.752, -3.011, 2.569], [2.501, 4.554, 4.665]],
  "species": ["Ho", "Ho", "As", "Ho", "As", "As", "Zr", "As"],
  "frac_coords": [[0.000, 0.000, 0.500], [0.000, 0.500, 0.000], [0.000, 0.759, 0.759], [0.500, 0.500, 0.500], [0.000, 0.241, 0.241], [0.500, 0.755, 0.245], [0.500, 0.000, 0.000], [0.500, 0.245, 0.755]]
}



{
  "formula": "AsI2",
  "functional": "GGA-PBE",
  "state": "relaxed",
  "raw_formation_energy_mev_per_atom": -123.0,
  "dft_energy_ev_per_atom": -2.71,
  "volume_a3_per_cell": 297.06,
  "magmom_total_mub_per_cell": 0.00,
  "spacegroup": "No. 1",
  "cell": [[5.785, -0.001, 0.004], [-2.863, 7.145, 0.002], [-0.041, -3.209, 7.186]],
  "species": ["I", "As", "I", "I", "I", "As"],
  "frac_coords": [[0.166, 0.290, 0.792], [0.527, 0.162, 0.786], [0.623, 0.336, 0.296], [0.360, 0.813, 0.501], [0.953, 0.860, 0.004], [0.441, 0.987, 0.010]]
}



{
  "formula": "AsI2",
  "functional": "GGA-PBE",
  "state": "relaxed",
  "raw_formation_energy_mev_per_atom": 60.7,
  "dft_energy_ev_per_atom": -2.52,
  "volume_a3_per_cell": 152.25,
  "magmom_total_mub_per_cell": 0.00,
  "spacegroup": "No. 1",
  "cell": [[-3.347, -1.131, -1.540], [1.064, -2.260, -5.476], [1.654, -7.306, 0.217]],
  "species": ["As", "I", "I"],
  "frac_coords": [[0.504, 0.660, 0.248], [0.731, 0.183, 0.314], [0.467, 0.862, 0.883]]
}



{
  "formula": "As6I",
  "functional": "GGA-PBE",
  "state": "relaxed",
  "raw_formation_energy_mev_per_atom": 204.9,
  "dft_energy_ev_per_atom": -4.00,
  "volume_a3_per_cell": 200.58,
  "magmom_total_mub_per_cell": 0.00,
  "spacegroup": "No. 229",
  "cell": [[-1.219, 1.531, -6.080], [-1.964, -5.972, 1.127], [-3.098, 4.026, 3.872]],
  "species": ["As", "As", "I", "As", "As", "As", "As"],
  "frac_coords": [[0.500, 0.750, 0.250], [0.500, 0.250, 0.750], [0.000, 0.000, 0.000], [0.750, 0.250, 0.500], [0.750, 0.500, 0.250], [0.250, 0.500, 0.750], [0.250, 0.750, 0.500]]
}



{
  "formula": "AsI2",
  "functional": "GGA-PBE",
  "state": "relaxed",
  "raw_formation_energy_mev_per_atom": 67.3,
  "dft_energy_ev_per_atom": -2.52,
  "volume_a3_per_cell": 263.01,
  "magmom_total_mub_per_cell": 0.00,
  "spacegroup": "No. 12",
  "cell": [[3.836, 0.000, 0.000], [1.918, 8.577, -1.214], [1.918, 2.096, 7.697]],
  "species": ["I", "I", "I", "I", "As", "As"],
  "frac_coords": [[0.199, 0.295, 0.307], [0.801, 0.705, 0.693], [0.528, 0.761, 0.184], [0.472, 0.239, 0.816], [0.804, 0.353, 0.039], [0.196, 0.647, 0.961]]
}



{
  "formula": "As4I",
  "functional": "GGA-PBE",
  "state": "relaxed",
  "raw_formation_energy_mev_per_atom": 1492.2,
  "dft_energy_ev_per_atom": -2.54,
  "volume_a3_per_cell": 150.52,
  "magmom_total_mub_per_cell": 0.00,
  "spacegroup": "No. 221",
  "cell": [[5.319, 0.000, 0.000], [0.000, 5.319, 0.000], [0.000, 0.000, 5.319]],
  "species": ["As", "As", "As", "I", "As"],
  "frac_coords": [[0.500, 0.500, 0.000], [0.000, 0.500, 0.500], [0.000, 0.000, 0.000], [0.500, 0.500, 0.500], [0.500, 0.000, 0.500]]
}



{
  "formula": "AsI2",
  "functional": "GGA-PBE",
  "state": "relaxed",
  "raw_formation_energy_mev_per_atom": 37.4,
  "dft_energy_ev_per_atom": -2.55,
  "volume_a3_per_cell": 247.33,
  "magmom_total_mub_per_cell": 0.00,
  "spacegroup": "No. 5",
  "cell": [[-2.468, 2.916, 0.531], [0.412, -0.422, 4.233], [13.870, 6.838, -0.667]],
  "species": ["I", "I", "As", "I", "I", "As"],
  "frac_coords": [[0.868, 0.859, 0.865], [0.868, 0.359, 0.365], [0.000, 0.971, 0.500], [0.132, 0.359, 0.635], [0.132, 0.859, 0.135], [0.000, 0.471, 0.000]]
}



{
  "formula": "AsI2",
  "functional": "GGA-PBE",
  "state": "relaxed",
  "raw_formation_energy_mev_per_atom": -124.0,
  "dft_energy_ev_per_atom": -2.71,
  "volume_a3_per_cell": 294.72,
  "magmom_total_mub_per_cell": 0.00,
  "spacegroup": "No. 1",
  "cell": [[-1.506, 1.705, 5.343], [-7.036, -2.973, -1.055], [5.459, -5.502, 0.138]],
  "species": ["I", "As", "As", "I", "I", "I"],
  "frac_coords": [[0.399, 0.281, 0.434], [0.238, 0.307, 0.086], [0.322, 0.667, 0.254], [0.809, 0.759, 0.377], [0.136, 0.692, 0.905], [0.602, 0.216, 0.964]]
}



{
  "formula": "As2I3",
  "functional": "GGA-PBE",
  "state": "relaxed",
  "raw_formation_energy_mev_per_atom": -18.2,
  "dft_energy_ev_per_atom": -2.81,
  "volume_a3_per_cell": 440.28,
  "magmom_total_mub_per_cell": 0.00,
  "spacegroup": "No. 43",
  "cell": [[-0.715, -2.824, 3.005], [4.716, -4.651, -0.334], [9.111, 7.431, 12.064]],
  "species": ["I", "I", "As", "As", "As", "I", "As", "I", "I", "I"],
  "frac_coords": [[0.149, 0.500, 0.500], [0.899, 0.000, 0.000], [0.470, 0.871, 0.488], [0.829, 0.129, 0.512], [0.208, 0.371, 0.012], [0.520, 0.926, 0.335], [0.591, 0.629, 0.988], [0.105, 0.426, 0.165], [0.782, 0.074, 0.665], [0.696, 0.574, 0.835]]
}



{
  "formula": "In2AsI",
  "functional": "GGA-PBE",
  "state": "relaxed",
  "raw_formation_energy_mev_per_atom": -46.7,
  "dft_energy_ev_per_atom": -2.97,
  "volume_a3_per_cell": 281.82,
  "magmom_total_mub_per_cell": 0.00,
  "spacegroup": "No. 122",
  "cell": [[-4.632, 0.494, -6.289], [5.596, -3.280, -4.379], [-1.230, -5.561, -4.400]],
  "species": ["In", "I", "In", "In", "I", "As", "As", "In"],
  "frac_coords": [[0.180, 0.625, 0.250], [0.000, 0.000, 0.000], [0.570, 0.125, 0.250], [0.875, 0.820, 0.750], [0.750, 0.250, 0.500], [0.500, 0.500, 0.000], [0.250, 0.750, 0.500], [0.375, 0.430, 0.750]]
}



{
  "formula": "In2As2I",
  "functional": "GGA-PBE",
  "state": "relaxed",
  "raw_formation_energy_mev_per_atom": -155.8,
  "de_polymorph_mev_per_atom": 0,
  "dft_energy_ev_per_atom": -3.42,
  "volume_a3_per_cell": 133.88,
  "magmom_total_mub_per_cell": 0.00,
  "spacegroup": "No. 139",
  "cell": [[-4.371, -1.575, 2.627], [-2.493, -0.833, -4.646], [-1.863, -5.634, -1.056]],
  "species": ["In", "As", "In", "I", "As"],
  "frac_coords": [[0.750, 0.250, 0.500], [0.632, 0.632, 0.735], [0.250, 0.750, 0.500], [0.000, 0.000, 0.000], [0.368, 0.368, 0.265]]
}



{
  "formula": "InAsI",
  "functional": "GGA-PBE",
  "state": "relaxed",
  "raw_formation_energy_mev_per_atom": -78.3,
  "dft_energy_ev_per_atom": -3.06,
  "volume_a3_per_cell": 203.84,
  "magmom_total_mub_per_cell": 0.00,
  "spacegroup": "No. 12",
  "cell": [[3.835, 0.000, 0.000], [1.917, 6.508, -0.727], [1.917, 1.309, 8.021]],
  "species": ["As", "In", "In", "I", "As", "I"],
  "frac_coords": [[0.682, 0.050, 0.585], [0.829, 0.199, 0.143], [0.171, 0.801, 0.857], [0.893, 0.446, 0.768], [0.318, 0.950, 0.415], [0.107, 0.554, 0.232]]
}



{
  "formula": "In2AsI8",
  "functional": "GGA-PBE",
  "state": "relaxed",
  "raw_formation_energy_mev_per_atom": -329.1,
  "dft_energy_ev_per_atom": -2.38,
  "volume_a3_per_cell": 602.61,
  "magmom_total_mub_per_cell": 1.00,
  "spacegroup": "No. 12",
  "cell": [[-7.888, 3.943, 0.175], [-2.985, -5.786, -4.432], [-3.476, -3.717, 7.203]],
  "species": ["I", "I", "I", "I", "I", "I", "In", "I", "In", "As", "I"],
  "frac_coords": [[0.808, 0.338, 0.808], [0.924, 0.167, 0.294], [0.408, 0.206, 0.408], [0.192, 0.662, 0.192], [0.076, 0.833, 0.706], [0.706, 0.833, 0.076], [0.780, 0.679, 0.780], [0.294, 0.167, 0.924], [0.220, 0.321, 0.220], [0.000, 0.000, 0.000], [0.592, 0.794, 0.592]]
}



{
  "formula": "In3As5I12",
  "functional": "GGA-PBE",
  "state": "relaxed",
  "raw_formation_energy_mev_per_atom": 43.2,
  "dft_energy_ev_per_atom": -2.46,
  "volume_a3_per_cell": 3636.73,
  "magmom_total_mub_per_cell": 0.00,
  "spacegroup": "No. 230",
  "cell": [[16.779, 0.000, 0.000], [-5.593, 15.820, 0.000], [-5.593, -7.910, 13.700]],
  "species": ["I", "In", "As", "In", "I", "I", "In", "In", "As", "I", "I", "I", "As", "I", "I", "I", "As", "I", "In", "As", "I", "I", "I", "I", "As", "I", "I", "I", "I", "I", "As", "I", "I", "In", "As", "As", "I", "In", "As", "I", "As", "In", "I", "As", "I", "I", "In", "I", "As", "As", "I", "In", "As", "I", "I", "In", "In", "I", "I", "I", "I", "I", "I", "I", "I", "As", "I", "As", "As", "I", "I", "I", "I", "I", "I", "I", "As", "I", "I", "As"],
  "frac_coords": [[0.178, 0.101, 0.992], [0.750, 0.375, 0.125], [0.500, 0.000, 0.000], [0.875, 0.750, 0.125], [0.891, 0.577, 0.899], [0.686, 0.109, 0.008], [0.625, 0.250, 0.375], [0.875, 0.125, 0.250], [0.000, 0.500, 0.000], [0.322, 0.814, 0.423], [0.577, 0.891, 0.399], [0.391, 0.992, 0.814], [0.750, 0.125, 0.875], [0.678, 0.186, 0.577], [0.899, 0.822, 0.508], [0.322, 0.508, 0.399], [0.375, 0.125, 0.750], [0.077, 0.899, 0.391], [0.375, 0.625, 0.250], [0.750, 0.625, 0.375], [0.399, 0.008, 0.322], [0.508, 0.186, 0.109], [0.601, 0.992, 0.678], [0.178, 0.077, 0.686], [0.125, 0.750, 0.375], [0.314, 0.891, 0.992], [0.992, 0.601, 0.178], [0.814, 0.492, 0.391], [0.077, 0.178, 0.186], [0.186, 0.678, 0.077], [0.625, 0.875, 0.250], [0.992, 0.391, 0.314], [0.609, 0.008, 0.186], [0.750, 0.875, 0.625], [0.125, 0.375, 0.250], [0.000, 0.000, 0.500], [0.609, 0.601, 0.923], [0.625, 0.375, 0.750], [0.500, 0.500, 0.000], [0.186, 0.508, 0.609], [0.000, 0.000, 0.000], [0.250, 0.625, 0.875], [0.423, 0.314, 0.322], [0.500, 0.500, 0.500], [0.923, 0.822, 0.814], [0.678, 0.492, 0.601], [0.125, 0.250, 0.875], [0.008, 0.609, 0.686], [0.500, 0.000, 0.500], [0.250, 0.875, 0.125], [0.822, 0.899, 0.008], [0.250, 0.125, 0.375], [0.875, 0.250, 0.625], [0.577, 0.686, 0.678], [0.101, 0.923, 0.109], [0.125, 0.875, 0.750], [0.375, 0.750, 0.625], [0.008, 0.399, 0.822], [0.899, 0.077, 0.891], [0.101, 0.178, 0.492], [0.891, 0.314, 0.492], [0.314, 0.423, 0.822], [0.492, 0.678, 0.101], [0.423, 0.109, 0.601], [0.399, 0.391, 0.577], [0.250, 0.375, 0.625], [0.601, 0.609, 0.423], [0.625, 0.750, 0.875], [0.375, 0.250, 0.125], [0.391, 0.399, 0.077], [0.923, 0.101, 0.609], [0.814, 0.322, 0.923], [0.822, 0.923, 0.314], [0.508, 0.322, 0.899], [0.109, 0.423, 0.101], [0.686, 0.577, 0.178], [0.000, 0.500, 0.500], [0.492, 0.814, 0.891], [0.109, 0.686, 0.508], [0.875, 0.625, 0.750]]
}



{
  "formula": "In3AsI",
  "functional": "GGA-PBE",
  "state": "relaxed",
  "raw_formation_energy_mev_per_atom": 72.3,
  "de_polymorph_mev_per_atom": 0,
  "dft_energy_ev_per_atom": -2.81,
  "volume_a3_per_cell": 175.92,
  "magmom_total_mub_per_cell": 0.00,
  "spacegroup": "No. 221",
  "cell": [[-4.933, -1.153, 2.394], [2.643, -1.622, 4.667], [-0.267, 5.238, 1.971]],
  "species": ["I", "In", "As", "In", "In"],
  "frac_coords": [[0.500, 0.500, 0.500], [0.000, 0.500, 0.000], [0.000, 0.000, 0.000], [0.500, 0.000, 0.000], [0.000, 0.000, 0.500]]
}



{
  "formula": "InAsI3",
  "functional": "GGA-PBE",
  "state": "relaxed",
  "raw_formation_energy_mev_per_atom": -124.3,
  "de_polymorph_mev_per_atom": 0,
  "dft_energy_ev_per_atom": -2.53,
  "volume_a3_per_cell": 195.56,
  "magmom_total_mub_per_cell": 0.00,
  "spacegroup": "No. 221",
  "cell": [[5.804, 0.000, 0.000], [0.000, 5.804, 0.000], [0.000, 0.000, 5.804]],
  "species": ["I", "I", "As", "In", "I"],
  "frac_coords": [[0.000, 0.500, 0.000], [0.500, 0.000, 0.000], [0.000, 0.000, 0.000], [0.500, 0.500, 0.500], [0.000, 0.000, 0.500]]
}



{
  "formula": "InAs3I",
  "functional": "GGA-PBE",
  "state": "relaxed",
  "raw_formation_energy_mev_per_atom": 910.2,
  "de_polymorph_mev_per_atom": 0,
  "dft_energy_ev_per_atom": -2.74,
  "volume_a3_per_cell": 149.92,
  "magmom_total_mub_per_cell": 0.00,
  "spacegroup": "No. 221",
  "cell": [[5.312, 0.000, 0.000], [0.000, 5.312, 0.000], [0.000, 0.000, 5.312]],
  "species": ["In", "As", "I", "As", "As"],
  "frac_coords": [[0.000, 0.000, 0.000], [0.000, 0.000, 0.500], [0.500, 0.500, 0.500], [0.000, 0.500, 0.000], [0.500, 0.000, 0.000]]
}



{
  "formula": "In3AsI",
  "functional": "GGA-PBE",
  "state": "relaxed",
  "raw_formation_energy_mev_per_atom": 720.4,
  "de_polymorph_mev_per_atom": 648,
  "dft_energy_ev_per_atom": -2.16,
  "volume_a3_per_cell": 246.06,
  "magmom_total_mub_per_cell": 1.00,
  "spacegroup": "No. 221",
  "cell": [[-2.672, 4.096, 3.918], [3.038, -2.622, 4.813], [4.785, 3.951, -0.868]],
  "species": ["As", "In", "In", "In", "I"],
  "frac_coords": [[0.500, 0.500, 0.500], [0.500, 0.000, 0.000], [0.000, 0.000, 0.500], [0.000, 0.500, 0.000], [0.000, 0.000, 0.000]]
}



{
  "formula": "In12As5I3",
  "functional": "GGA-PBE",
  "state": "relaxed",
  "raw_formation_energy_mev_per_atom": 97.4,
  "dft_energy_ev_per_atom": -2.94,
  "volume_a3_per_cell": 2914.81,
  "magmom_total_mub_per_cell": 0.00,
  "spacegroup": "No. 230",
  "cell": [[-5.656, -13.544, -5.245], [15.189, -1.574, 3.125], [-7.576, 4.114, 12.985]],
  "species": ["I", "In", "In", "In", "In", "In", "In", "As", "In", "In", "In", "In", "I", "In", "In", "In", "In", "As", "As", "In", "As", "As", "In", "In", "In", "In", "I", "In", "I", "I", "As", "In", "In", "In", "In", "I", "In", "As", "In", "As", "I", "As", "In", "As", "As", "In", "In", "In", "In", "As", "I", "As", "In", "In", "In", "In", "As", "In", "In", "In", "I", "I", "In", "In", "In", "As", "In", "In", "I", "In", "I", "As", "As", "In", "In", "In", "As", "As", "In", "As"],
  "frac_coords": [[0.125, 0.250, 0.875], [0.093, 0.172, 0.462], [0.538, 0.328, 0.907], [0.710, 0.579, 0.172], [0.579, 0.710, 0.672], [0.790, 0.328, 0.921], [0.079, 0.907, 0.369], [0.250, 0.875, 0.125], [0.593, 0.631, 0.421], [0.462, 0.672, 0.093], [0.962, 0.593, 0.172], [0.290, 0.869, 0.962], [0.375, 0.750, 0.625], [0.210, 0.672, 0.079], [0.328, 0.538, 0.407], [0.790, 0.462, 0.369], [0.407, 0.369, 0.579], [0.625, 0.875, 0.250], [0.750, 0.125, 0.875], [0.962, 0.369, 0.290], [0.500, 0.500, 0.000], [0.375, 0.125, 0.750], [0.290, 0.421, 0.828], [0.462, 0.790, 0.869], [0.579, 0.869, 0.407], [0.828, 0.907, 0.038], [0.875, 0.750, 0.125], [0.538, 0.210, 0.131], [0.875, 0.125, 0.250], [0.625, 0.250, 0.375], [0.000, 0.000, 0.000], [0.131, 0.710, 0.538], [0.079, 0.172, 0.210], [0.672, 0.210, 0.579], [0.672, 0.462, 0.593], [0.750, 0.875, 0.625], [0.421, 0.131, 0.593], [0.625, 0.750, 0.875], [0.172, 0.093, 0.962], [0.375, 0.250, 0.125], [0.625, 0.375, 0.750], [0.125, 0.750, 0.375], [0.631, 0.593, 0.921], [0.750, 0.625, 0.375], [0.000, 0.500, 0.000], [0.631, 0.038, 0.210], [0.328, 0.790, 0.421], [0.369, 0.962, 0.790], [0.093, 0.921, 0.131], [0.875, 0.250, 0.625], [0.250, 0.625, 0.875], [0.500, 0.500, 0.500], [0.421, 0.290, 0.328], [0.907, 0.828, 0.538], [0.131, 0.421, 0.093], [0.038, 0.407, 0.828], [0.000, 0.000, 0.500], [0.593, 0.962, 0.672], [0.828, 0.921, 0.290], [0.869, 0.579, 0.907], [0.375, 0.625, 0.250], [0.125, 0.875, 0.750], [0.921, 0.828, 0.790], [0.172, 0.079, 0.710], [0.710, 0.131, 0.038], [0.125, 0.375, 0.250], [0.907, 0.079, 0.869], [0.038, 0.631, 0.710], [0.250, 0.125, 0.375], [0.407, 0.038, 0.328], [0.750, 0.375, 0.125], [0.875, 0.625, 0.750], [0.000, 0.500, 0.500], [0.210, 0.538, 0.631], [0.869, 0.290, 0.462], [0.921, 0.093, 0.631], [0.250, 0.375, 0.625], [0.500, 0.000, 0.500], [0.369, 0.407, 0.079], [0.500, 0.000, 0.000]]
}